No. 1
Ce2Sn4PdAu3 (PBE, relaxed); energy = -4.8285 eV per atom; DFT formation energy = -0.5381 eV per atom; space group = P-4m2 (115); M_tot = 1.9 μB/cell
1.0
4.6215 0.0000 0.0000
0.0000 4.6215 0.0000
0.0000 0.0000 11.3571
Ce Sn Pd Au
2 4 1 3
direct
0.0000 0.5000 0.2301 Ce
0.5000 0.0000 0.7699 Ce
0.0000 0.0000 0.5000 Sn
0.0000 0.5000 0.8742 Sn
0.5000 0.0000 0.1258 Sn
0.5000 0.5000 0.5000 Sn
0.5000 0.5000 0.0000 Pd
0.0000 0.0000 0.0000 Au
0.0000 0.5000 0.6416 Au
0.5000 0.0000 0.3584 Au

***

No. 2
CeSnPdAu (PBE, relaxed); energy = -5.2894 eV per atom; DFT formation energy = -0.6876 eV per atom; space group = F-43m (216); M_tot = 0.6 μB/cell
1.0
0.0000 3.5103 3.5103
3.5103 0.0000 3.5103
3.5103 3.5103 0.0000
Ce Sn Pd Au
1 1 1 1
direct
0.0000 0.0000 0.0000 Ce
0.5000 0.5000 0.5000 Sn
0.2500 0.2500 0.2500 Pd
0.7500 0.7500 0.7500 Au

***

No. 3
TbCePdAu (PBE, relaxed); energy = -5.4653 eV per atom; DFT formation energy = -0.7068 eV per atom; space group = F-43m (216); M_tot = 0.9 μB/cell
1.0
0.0000 3.6111 3.6111
3.6111 0.0000 3.6111
3.6111 3.6111 0.0000
Tb Ce Pd Au
1 1 1 1
direct
0.0000 0.0000 0.0000 Tb
0.5000 0.5000 0.5000 Ce
0.7500 0.7500 0.7500 Pd
0.2500 0.2500 0.2500 Au

***

No. 4
CeTePdAu (PBE, relaxed); formation energy (no corrections) = -639 meV/atom; energy = -5.0253 eV per atom; space group = F-43m (216); M_tot = 0.8 μB/cell
1.0
0.0000 3.5586 3.5586
3.5586 0.0000 3.5586
3.5586 3.5586 0.0000
Ce Te Pd Au
1 1 1 1
direct
0.0000 0.0000 0.0000 Ce
0.5000 0.5000 0.5000 Te
0.2500 0.2500 0.2500 Pd
0.7500 0.7500 0.7500 Au